A plane-wave DFT calculation with PBE was carried out for an optimized crystal structure of SrNd8Sm4.

a b c (Å): 6.407 6.407 15.264
angles (deg): 93.92 93.92 48.14
Atoms (fractional coordinates):
Sr: 0.000 0.000 0.000
Nd: 0.075 0.075 0.763
Nd: 0.234 0.234 0.311
Nd: 0.307 0.307 0.083
Nd: 0.460 0.460 0.613
Nd: 0.540 0.540 0.387
Nd: 0.693 0.693 0.917
Nd: 0.766 0.766 0.689
Nd: 0.925 0.925 0.237
Sm: 0.153 0.153 0.538
Sm: 0.376 0.376 0.838
Sm: 0.624 0.624 0.162
Sm: 0.847 0.847 0.462

Properties
Its crystal system is monoclinic. The energy of formation from the pure elements is 0.052 eV per atom. The value obtained for the spin magnetization is 0.000 μB/atom. The value obtained for the volume is 465 Å³ per cell. The symmetry is C2/m (12).